DFT (PBE) results for a geometry-optimized AcLa2Sm2Ho2 structure.

Structure (POSCAR):
```
AcLa2Sm2Ho2
1.0
5.8284 -2.6083 0.0000
5.8284 2.6083 0.0000
-1.1868 0.0000 8.1766
Ac La Sm Ho
1 2 2 2
Direct
0.0000 0.0000 0.0000 Ac
0.2854 0.2854 0.8508 La
0.7146 0.7146 0.1492 La
0.1413 0.1413 0.4311 Sm
0.8587 0.8587 0.5689 Sm
0.4259 0.4259 0.2960 Ho
0.5741 0.5741 0.7040 Ho
```

## Properties
Size of the total moment (μB/f.u.): 0.00
Total DFT energy (no corrections) (eV/cell): -32.28
Energy of formation (meV/atom): 40